No. 1
VASP calculation (PBEsol) on TcRuCl2 after structural relaxation.

Results
Formation energy (no corrections): 892 meV per atom
Energy above the most stable polymorph in this dataset: 474 meV per atom
Crystal system: cubic

Lattice parameters (Å, degrees): 6.021 6.021 6.021 90.00 90.00 90.00
Fractional coordinates of all 16 atoms:
Tc  0.000  0.000  0.000
Tc  0.000  0.500  0.500
Tc  0.500  0.000  0.500
Tc  0.500  0.500  0.000
Ru  0.000  0.000  0.500
Ru  0.000  0.500  0.000
Ru  0.500  0.000  0.000
Ru  0.500  0.500  0.500
Cl  0.250  0.250  0.250
Cl  0.250  0.250  0.750
Cl  0.250  0.750  0.250
Cl  0.250  0.750  0.750
Cl  0.750  0.250  0.250
Cl  0.750  0.250  0.750
Cl  0.750  0.750  0.250
Cl  0.750  0.750  0.750

---

No. 2
VASP calculation (PBEsol) on LiScAg2 after structural relaxation.

Results
Energy of formation: -0.17 eV per atom
Crystal system: tetragonal

Lattice parameters (Å, degrees): 4.755 4.755 3.163 90.00 90.00 90.00
Fractional coordinates of all 4 atoms:
Li  0.000  0.000  0.000
Sc  0.500  0.500  0.000
Ag  0.000  0.500  0.500
Ag  0.500  0.000  0.500

---

No. 3
VASP calculation (PBEsol) on NaIn10CuS16 after structural relaxation.

Results
Formation energy (no corrections): -610 meV per atom
Crystal system: tetragonal

Lattice parameters (Å, degrees): 7.592 7.592 10.916 90.00 90.00 90.00
Fractional coordinates of all 28 atoms:
Na  0.000  0.000  0.000
In  0.000  0.269  0.622
In  0.000  0.500  0.251
In  0.000  0.731  0.622
In  0.245  0.500  0.858
In  0.269  0.000  0.378
In  0.500  0.000  0.749
In  0.500  0.245  0.142
In  0.500  0.755  0.142
In  0.731  0.000  0.378
In  0.755  0.500  0.858
Cu  0.500  0.500  0.500
S  0.000  0.230  0.384
S  0.000  0.270  0.855
S  0.000  0.730  0.855
S  0.000  0.770  0.384
S  0.230  0.000  0.616
S  0.252  0.500  0.621
S  0.265  0.500  0.112
S  0.270  0.000  0.145
S  0.500  0.252  0.379
S  0.500  0.265  0.888
S  0.500  0.735  0.888
S  0.500  0.748  0.379
S  0.730  0.000  0.145
S  0.735  0.500  0.112
S  0.748  0.500  0.621
S  0.770  0.000  0.616

---

No. 4
VASP calculation (PBEsol) on AsOsPbSe2 after structural relaxation.

Results
Formation energy (no corrections): 407 meV per atom
Crystal system: tetragonal

Lattice parameters (Å, degrees): 5.105 5.105 4.550 90.00 90.00 90.00
Fractional coordinates of all 5 atoms:
As  0.000  0.000  0.000
Os  0.000  0.000  0.500
Pb  0.500  0.500  0.000
Se  0.000  0.500  0.500
Se  0.500  0.000  0.500

---

No. 5
VASP calculation (PBEsol) on Ni2H after structural relaxation.

Results
Crystal system: trigonal

Lattice parameters (Å, degrees): 2.507 2.507 4.163 90.00 90.00 120.00
Fractional coordinates of all 3 atoms:
Ni  0.333  0.667  0.259
Ni  0.667  0.333  0.741
H  0.000  0.000  0.000

---

No. 6
VASP calculation (PBEsol) on YTlRh2 after structural relaxation.

Results
Energy of formation: -0.29 eV per atom
Crystal system: orthorhombic

Lattice parameters (Å, degrees): 3.204 4.143 5.547 90.00 90.00 90.00
Fractional coordinates of all 4 atoms:
Y  0.000  0.000  0.000
Tl  0.500  0.500  0.674
Rh  0.000  0.000  0.484
Rh  0.500  0.500  0.191

---

No. 7
VASP calculation (PBEsol) on SrCuRu2 after structural relaxation.

Results
Energy of formation: 0.92 eV per atom
Energy above the most stable polymorph in this dataset: 676 meV per atom
Crystal system: tetragonal

Lattice parameters (Å, degrees): 3.855 3.855 9.100 90.00 90.00 90.00
Fractional coordinates of all 8 atoms:
Sr  0.000  0.000  0.000
Sr  0.500  0.500  0.500
Cu  0.000  0.000  0.500
Cu  0.500  0.500  0.000
Ru  0.000  0.500  0.250
Ru  0.000  0.500  0.750
Ru  0.500  0.000  0.250
Ru  0.500  0.000  0.750

---

No. 8
VASP calculation (PBEsol) on SmAl2 after structural relaxation.

Results
Energy of formation: -0.53 eV per atom
Crystal system: cubic

Lattice parameters (Å, degrees): 5.583 5.583 5.583 60.00 60.00 60.00
Fractional coordinates of all 6 atoms:
Sm  0.125  0.125  0.125
Sm  0.875  0.875  0.875
Al  0.000  0.500  0.500
Al  0.500  0.000  0.500
Al  0.500  0.500  0.000
Al  0.500  0.500  0.500

---

No. 9
VASP calculation (PBEsol) on Cr3RhS after structural relaxation.

Results
Formation energy (no corrections): 1395 meV per atom
Crystal system: cubic

Lattice parameters (Å, degrees): 4.639 4.639 4.639 90.00 90.00 90.00
Fractional coordinates of all 5 atoms:
Cr  0.000  0.000  0.500
Cr  0.000  0.500  0.000
Cr  0.500  0.000  0.000
Rh  0.000  0.000  0.000
S  0.500  0.500  0.500

---

No. 10
VASP calculation (PBEsol) on ScAl2Si after structural relaxation.

Results
Formation energy (no corrections): -432 meV per atom
Crystal system: tetragonal

Lattice parameters (Å, degrees): 3.972 3.972 4.095 90.00 90.00 90.00
Fractional coordinates of all 4 atoms:
Sc  0.000  0.000  0.000
Al  0.000  0.500  0.500
Al  0.500  0.000  0.500
Si  0.500  0.500  0.000

---

No. 11
VASP calculation (PBEsol) on KSb2Os after structural relaxation.

Results
Formation energy (no corrections): 86 meV per atom
Energy above the most stable polymorph in this dataset: 0 meV per atom
Crystal system: tetragonal

Lattice parameters (Å, degrees): 3.277 3.277 8.642 90.00 90.00 90.00
Fractional coordinates of all 4 atoms:
K  0.000  0.000  0.000
Sb  0.500  0.500  0.314
Sb  0.500  0.500  0.686
Os  0.000  0.000  0.500

---

No. 12
VASP calculation (PBEsol) on ScMoPOs2 after structural relaxation.

Results
Energy of formation: 2.14 eV per atom
Crystal system: tetragonal

Lattice parameters (Å, degrees): 4.557 4.557 4.467 90.00 90.00 90.00
Fractional coordinates of all 5 atoms:
Sc  0.000  0.000  0.000
Mo  0.500  0.500  0.500
P  0.000  0.000  0.500
Os  0.000  0.500  0.000
Os  0.500  0.000  0.000

---

No. 13
VASP calculation (PBEsol) on TiPb3Cl after structural relaxation.

Results
Formation energy (no corrections): 662 meV per atom
Crystal system: cubic

Lattice parameters (Å, degrees): 5.350 5.350 5.350 90.00 90.00 90.00
Fractional coordinates of all 5 atoms:
Ti  0.000  0.000  0.000
Pb  0.000  0.500  0.500
Pb  0.500  0.000  0.500
Pb  0.500  0.500  0.000
Cl  0.500  0.500  0.500

---

No. 14
VASP calculation (PBEsol) on Rb3BaAs after structural relaxation.

Results
Energy of formation: 0.97 eV per atom
Crystal system: cubic

Lattice parameters (Å, degrees): 7.443 7.443 7.443 90.00 90.00 90.00
Fractional coordinates of all 5 atoms:
Rb  0.000  0.000  0.500
Rb  0.000  0.500  0.000
Rb  0.500  0.000  0.000
Ba  0.000  0.000  0.000
As  0.500  0.500  0.500

---

No. 15
VASP calculation (PBEsol) on Ni2Ag2Te after structural relaxation.

Results
Formation energy (no corrections): 342 meV per atom
Crystal system: tetragonal

Lattice parameters (Å, degrees): 3.687 3.687 12.116 90.00 90.00 90.00
Fractional coordinates of all 10 atoms:
Ni  0.000  0.000  0.096
Ni  0.000  0.000  0.904
Ni  0.500  0.500  0.404
Ni  0.500  0.500  0.596
Ag  0.000  0.500  0.250
Ag  0.000  0.500  0.750
Ag  0.500  0.000  0.250
Ag  0.500  0.000  0.750
Te  0.000  0.000  0.500
Te  0.500  0.500  0.000

---

No. 16
VASP calculation (PBEsol) on Co2RePt after structural relaxation.

Results
Energy of formation: 0.05 eV per atom
Energy above the most stable polymorph in this dataset: 38 meV per atom
Crystal system: orthorhombic

Lattice parameters (Å, degrees): 5.269 7.170 2.624 90.00 90.00 90.00
Fractional coordinates of all 8 atoms:
Co  0.250  0.250  0.000
Co  0.250  0.750  0.000
Co  0.750  0.250  0.000
Co  0.750  0.750  0.000
Re  0.000  0.000  0.500
Re  0.500  0.500  0.500
Pt  0.000  0.500  0.500
Pt  0.500  0.000  0.500

---

No. 17
VASP calculation (PBEsol) on BaCdBr after structural relaxation.

Results
Formation energy (no corrections): -812 meV per atom
Energy above the most stable polymorph in this dataset: 0 meV per atom
Crystal system: trigonal

Lattice parameters (Å, degrees): 5.423 5.423 4.490 90.00 90.00 120.00
Fractional coordinates of all 3 atoms:
Ba  0.000  0.000  0.000
Cd  0.667  0.333  0.496
Br  0.333  0.667  0.983

---

No. 18
VASP calculation (PBEsol) on KNd2Br5 after structural relaxation.

Results
Formation energy (no corrections): -1663 meV per atom
Crystal system: monoclinic

Lattice parameters (Å, degrees): 8.949 7.392 13.777 90.00 90.07 90.00
Fractional coordinates of all 32 atoms:
K  0.000  0.069  0.159
K  0.000  0.431  0.659
K  0.000  0.569  0.341
K  0.000  0.931  0.841
Nd  0.292  0.536  0.000
Nd  0.292  0.964  0.500
Nd  0.493  0.096  0.163
Nd  0.493  0.404  0.663
Nd  0.507  0.596  0.337
Nd  0.507  0.904  0.837
Nd  0.708  0.036  0.500
Nd  0.708  0.464  0.000
Br  0.023  0.181  0.426
Br  0.023  0.319  0.926
Br  0.253  0.135  0.694
Br  0.253  0.365  0.194
Br  0.259  0.652  0.788
Br  0.259  0.848  0.288
Br  0.290  0.545  0.498
Br  0.290  0.955  0.998
Br  0.475  0.191  0.371
Br  0.475  0.309  0.871
Br  0.525  0.691  0.129
Br  0.525  0.809  0.629
Br  0.710  0.045  0.002
Br  0.710  0.455  0.502
Br  0.741  0.152  0.712
Br  0.741  0.348  0.212
Br  0.747  0.635  0.806
Br  0.747  0.865  0.306
Br  0.977  0.681  0.074
Br  0.977  0.819  0.574

---

No. 19
VASP calculation (PBEsol) on Tl2ZnBi2 after structural relaxation.

Results
Energy of formation: 0.10 eV per atom
Crystal system: tetragonal

Lattice parameters (Å, degrees): 7.370 7.370 5.497 90.00 90.00 90.00
Fractional coordinates of all 10 atoms:
Tl  0.168  0.332  0.000
Tl  0.332  0.832  0.000
Tl  0.668  0.168  0.000
Tl  0.832  0.668  0.000
Zn  0.000  0.000  0.500
Zn  0.500  0.500  0.500
Bi  0.148  0.648  0.500
Bi  0.352  0.148  0.500
Bi  0.648  0.852  0.500
Bi  0.852  0.352  0.500

---

No. 20
VASP calculation (PBEsol) on KCuOs after structural relaxation.

Results
Energy of formation: 0.98 eV per atom
Energy above the most stable polymorph in this dataset: 2 meV per atom
Crystal system: trigonal

Lattice parameters (Å, degrees): 2.725 2.725 7.807 90.00 90.00 120.00
Fractional coordinates of all 3 atoms:
K  0.000  0.000  0.000
Cu  0.333  0.667  0.368
Os  0.667  0.333  0.635

---

The records above yield Fermi-level density of states values of 15.372, 2.693, 5.046, 5.445, 4.728, 1.773, 10.384, 4.793, 6.726, 1.613, 2.607, 5.571, 6.029, 9.308, 7.453, 9.174, 2.044, 1.853, 1.950, 1.541 states/eV per cell, respectively.
The records above yield E values of -5.471, -3.967, -4.385, -5.397, -5.259, -6.721, -5.709, -4.950, -7.255, -5.566, -5.530, -7.581, -3.803, -1.091, -4.151, -8.893, -2.551, -4.265, -2.987, -4.912 eV/atom, respectively.